A plane-wave DFT calculation with PBE was carried out for a relaxed structure of KTbMnSe3.

Summary:
mass density	4.487	g/cm3
uncorrected energy	-5.522	eV per atom
V	363	Å³ per cell
space group	P2_1/m, No. 11
energy relative to the elements, uncorrected	-1.2970	eV per atom

```
KTbMnSe3
1.0
-0.484 3.355 -2.533
-6.405 3.261 5.543
8.657 3.600 3.115
K Tb Mn Se
2 2 2 6
direct
0.250 0.205 0.231
0.750 0.795 0.769
0.250 0.668 0.140
0.750 0.332 0.860
0.250 0.086 0.609
0.750 0.914 0.391
0.750 0.889 0.137
0.250 0.111 0.863
0.250 0.793 0.464
0.750 0.207 0.536
0.750 0.460 0.159
0.250 0.540 0.841
```